Record 1
# TlAgBr2

A crystal of TlAgBr2 relaxed with PBEsol (SCAN, the Alexandria database).

CIF file:
```
data_TlAgBr2
_chemical_formula_sum 'Tl1 Ag1 Br2'
_symmetry_space_group_name_H-M 'P 4 m m'
_symmetry_Int_Tables_number 99
_cell_length_a 3.901
_cell_length_b 3.901
_cell_length_c 8.018
_cell_angle_alpha 90.00
_cell_angle_beta 90.00
_cell_angle_gamma 90.00
loop_
_symmetry_equiv_pos_as_xyz
'x,y,z'
'-y,x,z'
'-x,-y,z'
'y,-x,z'
'-x,y,z'
'y,x,z'
'x,-y,z'
'-y,-x,z'
loop_
_atom_site_label
_atom_site_type_symbol
_atom_site_fract_x
_atom_site_fract_y
_atom_site_fract_z
Tl1 Tl 0.000 0.000 0.000
Ag1 Ag 0.500 0.500 0.521
Br1 Br 0.000 0.000 0.588
Br2 Br 0.500 0.500 0.187
```

**Formation energy (no corrections)**: -2.25 eV per formula unit

Record 2
# TlAgBr2

A crystal of TlAgBr2 relaxed with PBEsol (SCAN, the Alexandria database).

CIF file:
```
data_TlAgBr2
_chemical_formula_sum 'Tl2 Ag2 Br4'
_symmetry_space_group_name_H-M 'C 1 m 1'
_symmetry_Int_Tables_number 8
_cell_length_a 12.730
_cell_length_b 4.387
_cell_length_c 4.455
_cell_angle_alpha 90.00
_cell_angle_beta 90.04
_cell_angle_gamma 90.00
loop_
_symmetry_equiv_pos_as_xyz
'x,y,z'
'x,-y,z'
'x+1/2,y+1/2,z'
'x+1/2,-y+1/2,z'
loop_
_atom_site_label
_atom_site_type_symbol
_atom_site_fract_x
_atom_site_fract_y
_atom_site_fract_z
Tl1 Tl 0.000 0.000 0.000
Ag1 Ag 0.201 0.500 0.004
Br1 Br 0.084 0.500 0.500
Br2 Br 0.314 0.000 0.979
```

**Formation energy (no corrections)**: -2.39 eV per formula unit

Record 3
# TlAg2Br

A crystal of TlAg2Br relaxed with PBEsol (SCAN, the Alexandria database).

CIF file:
```
data_TlAg2Br
_chemical_formula_sum 'Tl4 Ag8 Br4'
_symmetry_space_group_name_H-M 'F -4 3 m'
_symmetry_Int_Tables_number 216
_symmetry_space_group_name_Hall 'F -4 2 3'
_cell_length_a 7.187
_cell_length_b 7.187
_cell_length_c 7.187
_cell_angle_alpha 90.00
_cell_angle_beta 90.00
_cell_angle_gamma 90.00
loop_
_atom_site_label
_atom_site_type_symbol
_atom_site_fract_x
_atom_site_fract_y
_atom_site_fract_z
Tl1 Tl 0.000 0.000 0.000
Ag1 Ag 0.000 0.000 0.500
Ag2 Ag 0.250 0.250 0.750
Br1 Br 0.250 0.250 0.250
```

**Formation energy (no corrections)**: 0.75 eV per formula unit

- What is the formula in the second record?
  TlAgBr2

- What is the formula in the second record?
  TlAgBr2

What did the first record say?
# TlAgBr2

A crystal of TlAgBr2 relaxed with PBEsol (SCAN, the Alexandria database).

CIF file:
```
data_TlAgBr2
_chemical_formula_sum 'Tl1 Ag1 Br2'
_symmetry_space_group_name_H-M 'P 4 m m'
_symmetry_Int_Tables_number 99
_cell_length_a 3.901
_cell_length_b 3.901
_cell_length_c 8.018
_cell_angle_alpha 90.00
_cell_angle_beta 90.00
_cell_angle_gamma 90.00
loop_
_symmetry_equiv_pos_as_xyz
'x,y,z'
'-y,x,z'
'-x,-y,z'
'y,-x,z'
'-x,y,z'
'y,x,z'
'x,-y,z'
'-y,-x,z'
loop_
_atom_site_label
_atom_site_type_symbol
_atom_site_fract_x
_atom_site_fract_y
_atom_site_fract_z
Tl1 Tl 0.000 0.000 0.000
Ag1 Ag 0.500 0.500 0.521
Br1 Br 0.000 0.000 0.588
Br2 Br 0.500 0.500 0.187
```

**Formation energy (no corrections)**: -2.25 eV per formula unit

- formation energy (no corrections) of number 3 (TlAg2Br)?
  0.75 eV per formula unit